4
Lattice="-3.521 -3.870 -0.495 1.092 -4.178 -2.995 0.899 -4.672 2.233" Properties=species:S:1:pos:R:3 comment="EuDyMgCu | Alexandria | PBE-GGA | relaxed" m_tot_mub_per_cell=7.2 formation_enthalpy_0k_mev_per_atom=-7.9 pbc="T T T"
Mg -1.147 -9.540 -0.943
Cu -0.382 -3.180 -0.314
Dy -0.765 -6.360 -0.629
Eu 0.000 0.000 0.000


8
Lattice="4.522 0.000 0.000 0.000 4.522 0.000 2.261 2.261 4.486" Properties=species:S:1:pos:R:3 comment="CoB2P | Alexandria | PBE-GGA | relaxed" m_tot_mub_per_cell=0.0 formation_enthalpy_0k_mev_per_atom=320.5 pbc="T T T"
P 2.261 2.261 0.000
P 2.261 4.522 2.243
Co 4.522 2.261 2.243
Co 0.000 0.000 0.000
B 3.387 1.131 1.122
B 3.392 3.396 3.365
B 5.653 5.648 3.365
B 1.135 3.392 1.122